A plane-wave DFT calculation with PBE-GGA was carried out for a relaxed DyErTeP crystal.

## Properties
ΔE_f (raw) = -1.51 eV/atom
Total magnetization = 0.0 μB/f.u.

Lattice parameters (Å, degrees): 7.5752 7.5752 7.5752 31.02 31.02 31.02
Element x y z (fractional)
Dy (0.0000, 0.0000, 0.0000)
Er (0.8057, 0.8057, 0.8057)
Te (0.5693, 0.5693, 0.5693)
P (0.4018, 0.4018, 0.4018)